The following is a PBE-GGA calculation of a relaxed structure of YAs2Pb, from the Alexandria database.

abc: 4.9720 4.9720 3.8386
angles: 90.00 90.00 90.00
Atoms (fractional coordinates):
As 0.5000 0.5000 0.0000
As 0.0000 0.0000 0.0000
Y 0.0000 0.5000 0.5000
Pb 0.5000 0.0000 0.5000

Results
SG: P4/mmm (123)
Formation energy from the elements in meV/atom: -503